Pr2Ag3Au: optimized geometry, PBE.

Computed properties:
M_tot ... 0.00 μB/cell
Formation energy ... -417 meV per atom
V ... 141.75 Å³ per cell
Symmetry ... Cm

Cell and atoms, written as CIF:
```
data_Pr2Ag3Au
_space_group_name_H-M_alt 'P 1'
_space_group_IT_number 1
_space_group_name_Hall 'P 1'
_cell_length_a 5.954
_cell_length_b 5.954
_cell_length_c 7.122
_cell_angle_alpha 126.50
_cell_angle_beta 126.50
_cell_angle_gamma 47.63
loop_
_atom_site_label
_atom_site_type_symbol
_atom_site_fract_x
_atom_site_fract_y
_atom_site_fract_z
Pr1 Pr 0.000 0.000 0.000
Pr2 Pr 0.071 0.071 0.573
Ag1 Ag 0.368 0.368 0.579
Ag2 Ag 0.372 0.372 0.162
Ag3 Ag 0.701 0.701 0.410
Au1 Au 0.700 0.700 0.982
```

Pr4Ag3Au: optimized geometry, PBE.

Computed properties:
M_tot ... 0.01 μB/cell
Formation energy ... -400 meV per atom
V ... 219.90 Å³ per cell
Symmetry ... Pm

Cell and atoms, written as CIF:
```
data_Pr4Ag3Au
_space_group_name_H-M_alt 'P 1'
_space_group_IT_number 1
_space_group_name_Hall 'P 1'
_cell_length_a 5.953
_cell_length_b 4.901
_cell_length_c 7.537
_cell_angle_alpha 90.00
_cell_angle_beta 90.01
_cell_angle_gamma 90.00
loop_
_atom_site_label
_atom_site_type_symbol
_atom_site_fract_x
_atom_site_fract_y
_atom_site_fract_z
Pr1 Pr 0.000 0.000 0.000
Pr2 Pr 0.222 0.000 0.508
Pr3 Pr 0.498 0.500 0.861
Pr4 Pr 0.729 0.500 0.367
Ag1 Ag 0.227 0.500 0.223
Ag2 Ag 0.499 0.000 0.147
Ag3 Ag 0.721 0.000 0.645
Au1 Au 0.002 0.500 0.724
```